Record 1
## SrPr2Pb (GGA-PBE)

Data for a geometry-optimized SrPr2Pb structure.

The calculation puts the energy at -3.98 eV per atom. The value obtained for the energy relative to the lowest polymorph listed for this composition is 0 meV/atom.

The structure belongs to space group P4/mmm (No. 123); the cell edges are 5.1446, 5.1446 and 5.1404 Å and the angles 90.00°, 90.00° and 90.00°. The distinct sites, in fractional coordinates, are Sr at (0.0000, 0.0000, 0.0000), Pr at (0.0000, 0.5000, 0.5000) and Pb at (0.5000, 0.5000, 0.0000).

=====

Record 2
## SrPrPb6 (GGA-PBE)

Data for a geometry-optimized SrPrPb6 structure.

The calculation puts the energy at -3.96 eV per atom.

The structure belongs to space group P4/mmm (No. 123); the cell edges are 4.9609, 4.9609 and 10.0833 Å and the angles 90.00°, 90.00° and 90.00°. The distinct sites, in fractional coordinates, are Sr at (0.0000, 0.0000, 0.0000), Pr at (0.0000, 0.0000, 0.5000), Pb at (0.0000, 0.5000, 0.2525), Pb at (0.5000, 0.5000, 0.0000) and Pb at (0.5000, 0.5000, 0.5000).

=====

Record 3
## SrPr4Pb5 (GGA-PBE)

Data for a geometry-optimized SrPr4Pb5 structure.

The calculation puts the energy at -4.46 eV per atom.

The structure belongs to space group P4/mmm (No. 123); the cell edges are 3.6473, 3.6473 and 23.5493 Å and the angles 90.00°, 90.00° and 90.00°. The distinct sites, in fractional coordinates, are Sr at (0.0000, 0.0000, 0.0000), Pr at (0.0000, 0.0000, 0.2036), Pr at (0.0000, 0.0000, 0.4013), Pb at (0.5000, 0.5000, 0.1043), Pb at (0.5000, 0.5000, 0.3024) and Pb at (0.5000, 0.5000, 0.5000).

=====

Record 4
## SrPrPb (GGA-PBE)

Data for a geometry-optimized SrPrPb structure.

The calculation puts the energy at -3.84 eV per atom.

The structure belongs to space group P4/nmm (No. 129, origin choice 2); the cell edges are 5.0112, 5.0112 and 8.9402 Å and the angles 90.00°, 90.00° and 90.00°. The distinct sites, in fractional coordinates, are Sr at (0.2500, 0.2500, 0.1425), Pr at (0.2500, 0.7500, 0.5000) and Pb at (0.2500, 0.2500, 0.7550).

=====

Record 5
## SrPrPb (GGA-PBE)

Data for a geometry-optimized SrPrPb structure.

The calculation puts the energy at -3.63 eV per atom.

The structure belongs to space group P3m1 (No. 156); the cell edges are 5.4790, 5.4790 and 4.2530 Å and the angles 90.00°, 90.00° and 120.00°. The distinct sites, in fractional coordinates, are Sr at (0.0000, 0.0000, 0.0000), Pr at (0.6667, 0.3333, 0.4614) and Pb at (0.3333, 0.6667, 0.6236).

=====

Record 6
## SrPrPb (GGA-PBE)

Data for a geometry-optimized SrPrPb structure.

The calculation puts the energy at -3.63 eV per atom.

The structure belongs to space group I4mm (No. 107); the cell edges are 4.3383, 4.3383 and 11.2547 Å and the angles 90.00°, 90.00° and 90.00°. The distinct sites, in fractional coordinates, are Sr at (0.0000, 0.0000, 0.0000), Pr at (0.0000, 0.0000, 0.2999) and Pb at (0.0000, 0.0000, 0.6658).

=====

Record 7
## Sr2PrPb (GGA-PBE)

Data for a geometry-optimized Sr2PrPb structure.

The calculation puts the energy at -3.19 eV per atom. The value obtained for the energy relative to the lowest polymorph listed for this composition is 0 meV/atom.

The structure belongs to space group P4/mmm (No. 123); the cell edges are 5.1842, 5.1842 and 5.4658 Å and the angles 90.00°, 90.00° and 90.00°. The distinct sites, in fractional coordinates, are Sr at (0.0000, 0.5000, 0.0000), Pr at (0.0000, 0.0000, 0.5000) and Pb at (0.5000, 0.5000, 0.5000).

=====

Record 8
## SrPrPb4 (GGA-PBE)

Data for a geometry-optimized SrPrPb4 structure.

The calculation puts the energy at -3.95 eV per atom. The value obtained for the energy relative to the lowest polymorph listed for this composition is 0 meV/atom.

The structure belongs to space group Cmcm (No. 63); the cell edges are 4.8383, 24.1017 and 6.9049 Å and the angles 90.00°, 90.00° and 90.00°. The distinct sites, in fractional coordinates, are Sr at (0.0000, 0.2242, 0.2500), Pr at (0.0000, 0.0685, 0.7500), Pb at (0.0000, 0.0790, 0.2500), Pb at (0.0000, 0.3523, 0.0129) and Pb at (0.0000, 0.5000, 0.0000).

=====

Record 9
## Sr2PrPb (GGA-PBE)

Data for a geometry-optimized Sr2PrPb structure.

The calculation puts the energy at -2.84 eV per atom. The value obtained for the energy relative to the lowest polymorph listed for this composition is 343 meV/atom.

The structure belongs to space group R-3m (No. 166, hexagonal axes); the cell edges are 3.8532, 3.8532 and 39.7647 Å and the angles 90.00°, 90.00° and 120.00°. The distinct sites, in fractional coordinates, are Sr at (0.0000, 0.0000, 0.0856), Pr at (0.0000, 0.0000, 0.5000) and Pb at (0.0000, 0.0000, 0.0000).

=====

Record 10
## SrPrPb (GGA-PBE)

Data for a geometry-optimized SrPrPb structure.

The calculation puts the energy at -3.76 eV per atom.

The structure belongs to space group P6_3/mmc (No. 194); the cell edges are 5.7784, 5.7784 and 7.1811 Å and the angles 90.00°, 90.00° and 120.00°. The distinct sites, in fractional coordinates, are Sr at (0.3333, 0.6667, 0.2500), Pr at (0.0000, 0.0000, 0.0000) and Pb at (0.3333, 0.6667, 0.7500).

=====

Record 11
## Sr4PrPb5 (GGA-PBE)

Data for a geometry-optimized Sr4PrPb5 structure.

The calculation puts the energy at -3.50 eV per atom.

The structure belongs to space group P4/mmm (No. 123); the cell edges are 4.1308, 4.1308 and 20.3758 Å and the angles 90.00°, 90.00° and 90.00°. The distinct sites, in fractional coordinates, are Sr at (0.0000, 0.0000, 0.1037), Sr at (0.0000, 0.0000, 0.3093), Pr at (0.0000, 0.0000, 0.5000), Pb at (0.5000, 0.5000, 0.0000), Pb at (0.5000, 0.5000, 0.2086) and Pb at (0.5000, 0.5000, 0.4137).

=====

Record 12
## SrPrPb (GGA-PBE)

Data for a geometry-optimized SrPrPb structure.

The calculation puts the energy at -3.70 eV per atom.

The structure belongs to space group F-43m (No. 216); the cell edges are 7.8267, 7.8267 and 7.8267 Å and the angles 90.00°, 90.00° and 90.00°. The distinct sites, in fractional coordinates, are Sr at (0.0000, 0.0000, 0.0000), Pr at (0.0000, 0.0000, 0.5000) and Pb at (0.2500, 0.2500, 0.2500).

=====

Which formula does entry 8 have?
SrPrPb4